[1]
# ErGaSb

Crystalline ErGaSb at its relaxed geometry (PBE, the Alexandria database).

- VASP energy: -4.325 eV per atom
- Space group: I4mm, No. 107
- Calculated volume: 23.83 Å³/atom
- Offset from the most stable computed form: 56 meV/atom
- Magnetic moment: 0.00 μB/f.u.

Cell: 3.7572 3.7572 5.7193 Å, 109.18 109.18 90.00°
Closest atoms and distances in Å follow each position.
Fractional positions:
Sb: 0.9671 0.9671 0.9342  4 Ga 2.98, 5 Er 3.20-3.25
Ga: 0.6003 0.6003 0.2006  4 Sb 2.98, 5 Er 3.22-3.24
Er: 0.2826 0.2826 0.5652  5 Sb 3.20-3.25, 5 Ga 3.22-3.24

---

[2]
# Ca2SeSCl

Crystalline Ca2SeSCl at its relaxed geometry (PBE, the Alexandria database).

- VASP energy: -3.401 eV per atom
- Space group: P4/mmm, No. 123
- Calculated volume: 28.18 Å³/atom
- Magnetic moment: 0.00 μB/f.u.

Cell: 5.4147 4.8063 5.4147 Å, 90.00 90.00 90.00°
Closest atoms and distances in Å follow each position.
Fractional positions:
Ca: 0.0000 0.0000 0.5000  2 Cl 2.71
Ca: 0.5000 0.0000 0.0000  2 Cl 2.71
S: 0.5000 0.5000 0.5000  8 Ca 3.62, 4 Se 3.83
Se: 0.0000 0.5000 0.0000  2 Cl 2.40
Cl: 0.0000 0.0000 0.0000  2 Se 2.40

---

[3]
# NaGePbSe3

Crystalline NaGePbSe3 at its relaxed geometry (PBE, the Alexandria database).

- VASP energy: -3.872 eV per atom
- Space group: P2_1/m, No. 11
- Calculated volume: 32.50 Å³/atom
- Magnetic moment: 0.00 μB/f.u.

Cell: 4.5842 8.4857 10.0846 Å, 96.20 90.00 90.00°
Closest atoms and distances in Å follow each position.
Fractional positions:
Na: 0.2500 0.1493 0.1503  5 Se 3.04-3.20
Na: 0.7500 0.8507 0.8497  5 Se 3.04-3.20
Ge: 0.2500 0.0987 0.5963  4 Se 2.37-2.56
Ge: 0.7500 0.9013 0.4037  4 Se 2.37-2.56
Pb: 0.2500 0.6206 0.1431  3 Se 2.82-3.05
Pb: 0.7500 0.3794 0.8569  3 Se 2.82-3.05
Se: 0.7500 0.9067 0.1687  1 Ge 2.37
Se: 0.2500 0.0933 0.8313  1 Ge 2.37
Se: 0.2500 0.8143 0.4828  3 Ge 2.56
Se: 0.7500 0.1857 0.5172  3 Ge 2.56
Se: 0.7500 0.3822 0.1368  3 Pb 2.82-3.05, 2 Na 3.04
Se: 0.2500 0.6178 0.8632  3 Pb 2.82-3.05, 2 Na 3.04

---

[4]
# LaNd3S4

Crystalline LaNd3S4 at its relaxed geometry (PBE, the Alexandria database).

- VASP energy: -6.533 eV per atom
- Space group: P2/c, No. 13
- Calculated volume: 24.20 Å³/atom
- Offset from the most stable computed form: 0 meV/atom
- Magnetic moment: 0.00 μB/f.u.

Cell: 7.1073 7.1079 8.1268 Å, 90.00 90.00 109.39°
Closest atoms and distances in Å follow each position.
Fractional positions:
S: 0.0015 0.2515 0.6234  5 Nd 2.87-2.90, 1 La 2.90
S: 0.5002 0.2534 0.8734  4 Nd 2.87-2.89, 2 La 2.91-2.92
S: 0.5015 0.2515 0.3766  5 Nd 2.87-2.90, 1 La 2.90
S: 0.0002 0.2534 0.1266  4 Nd 2.87-2.89, 2 La 2.91-2.92
S: 0.9998 0.7466 0.8734  4 Nd 2.87-2.89, 2 La 2.91-2.92
S: 0.4985 0.7485 0.6234  5 Nd 2.87-2.90, 1 La 2.90
S: 0.4998 0.7466 0.1266  4 Nd 2.87-2.89, 2 La 2.91-2.92
S: 0.9985 0.7485 0.3766  5 Nd 2.87-2.90, 1 La 2.90
Nd: 0.7500 0.0000 0.3755  6 S 2.89-2.90
Nd: 0.2500 0.0000 0.6245  6 S 2.89-2.90
Nd: 0.7500 0.5000 0.6243  6 S 2.87-2.90
Nd: 0.7500 0.5000 0.1258  6 S 2.88-2.89
Nd: 0.2500 0.5000 0.3757  6 S 2.87-2.90
Nd: 0.2500 0.5000 0.8742  6 S 2.88-2.89
La: 0.7500 0.0000 0.8745  6 S 2.90-2.92
La: 0.2500 0.0000 0.1255  6 S 2.90-2.92

---

[5]
# K2IO2

Crystalline K2IO2 at its relaxed geometry (PBE, the Alexandria database).

- VASP energy: -3.733 eV per atom
- Space group: I4/mmm, No. 139
- Calculated volume: 26.72 Å³/atom
- Offset from the most stable computed form: 0 meV/atom
- Magnetic moment: 1.00 μB/f.u.

Cell: 5.5902 5.5902 5.8228 Å, 61.31 61.31 90.00°
Closest atoms and distances in Å follow each position.
Fractional positions:
I: 0.0000 0.0000 0.0000  8 K 3.52, 2 O 3.60
K: 0.7500 0.2500 0.5000  4 O 3.15, 4 I 3.52
K: 0.2500 0.7500 0.5000  4 O 3.15, 4 I 3.52
O: 0.4206 0.4206 0.1588  1 O 1.36
O: 0.5794 0.5794 0.8412  1 O 1.36

---

[6]
# RbBaNiI2

Crystalline RbBaNiI2 at its relaxed geometry (PBE, the Alexandria database).

- VASP energy: -2.624 eV per atom
- Space group: P4/mmm, No. 123
- Calculated volume: 34.83 Å³/atom
- Magnetic moment: 0.02 μB/f.u.

Cell: 5.6556 5.4446 5.6556 Å, 90.00 90.00 90.00°
Closest atoms and distances in Å follow each position.
Fractional positions:
I: 0.0000 0.0000 0.5000  2 Ni 2.83
I: 0.5000 0.0000 0.0000  2 Ni 2.83
Ni: 0.0000 0.0000 0.0000  2 Rb 2.72, 4 I 2.83
Ba: 0.5000 0.5000 0.5000  8 I 3.93, 4 Rb 4.00
Rb: 0.0000 0.5000 0.0000  2 Ni 2.72

---

[7]
# Ac3Pm

Crystalline Ac3Pm at its relaxed geometry (PBE, the Alexandria database).

- VASP energy: -4.242 eV per atom
- Space group: P4/mmm, No. 123
- Calculated volume: 42.29 Å³/atom
- Offset from the most stable computed form: 3 meV/atom
- Magnetic moment: 0.00 μB/f.u.

Cell: 3.9344 3.9344 10.9289 Å, 90.00 90.00 90.00°
Closest atoms and distances in Å follow each position.
Fractional positions:
Ac: 0.5000 0.5000 0.2371  4 Pm 3.80, 8 Ac 3.93-4.00
Ac: 0.0000 0.0000 0.5000  12 Ac 3.93-4.00
Ac: 0.5000 0.5000 0.7629  4 Pm 3.80, 8 Ac 3.93-4.00
Pm: 0.0000 0.0000 0.0000  8 Ac 3.80, 4 Pm 3.93

---

[8]
# GaRh2O

Crystalline GaRh2O at its relaxed geometry (PBE, the Alexandria database).

- VASP energy: -5.570 eV per atom
- Space group: Fm-3m, No. 225
- Calculated volume: 12.82 Å³/atom
- Offset from the most stable computed form: 200 meV/atom
- Magnetic moment: 0.00 μB/f.u.

Cell: 4.1702 4.1702 4.1702 Å, 60.00 60.00 60.00°
Closest atoms and distances in Å follow each position.
Fractional positions:
Rh: 0.2500 0.2500 0.2500  4 O 2.55, 4 Ga 2.55
Rh: 0.7500 0.7500 0.7500  4 O 2.55, 4 Ga 2.55
O: 0.0000 0.0000 0.0000  8 Rh 2.55
Ga: 0.5000 0.5000 0.5000  8 Rh 2.55

---

[9]
# NdMg4Sc5

Crystalline NdMg4Sc5 at its relaxed geometry (PBE, the Alexandria database).

- VASP energy: -4.299 eV per atom
- Space group: P4/mmm, No. 123
- Calculated volume: 24.53 Å³/atom
- Magnetic moment: 0.00 μB/f.u.

Cell: 3.5671 3.5671 19.2762 Å, 90.00 90.00 90.00°
Closest atoms and distances in Å follow each position.
Fractional positions:
Nd: 0.0000 0.0000 0.0000  8 Sc 3.45, 4 Nd 3.57
Mg: 0.0000 0.0000 0.2172  8 Sc 3.11
Mg: 0.0000 0.0000 0.4053  8 Sc 3.11
Mg: 0.0000 0.0000 0.5947  8 Sc 3.11
Mg: 0.0000 0.0000 0.7828  8 Sc 3.11
Sc: 0.5000 0.5000 0.1224  4 Mg 3.11, 4 Nd 3.45
Sc: 0.5000 0.5000 0.3113  8 Mg 3.11
Sc: 0.5000 0.5000 0.5000  8 Mg 3.11
Sc: 0.5000 0.5000 0.6887  8 Mg 3.11
Sc: 0.5000 0.5000 0.8776  4 Mg 3.11, 4 Nd 3.45

---

[10]
# Tb8Nd4Tm

Crystalline Tb8Nd4Tm at its relaxed geometry (PBE, the Alexandria database).

- VASP energy: -4.151 eV per atom
- Space group: R-3m, No. 166
- Calculated volume: 36.78 Å³/atom
- Magnetic moment: 1.43 μB/f.u.

Cell: 7.8198 7.8198 7.8198 Å, 90.11 90.11 90.11°
Closest atoms and distances in Å follow each position.
Fractional positions:
Tb: 0.2396 0.7590 0.2396  4 Nd 3.25-3.43, 1 Tm 3.52
Tb: 0.7604 0.7604 0.2410  4 Nd 3.25-3.43, 1 Tm 3.52
Tb: 0.7604 0.2410 0.7604  4 Nd 3.25-3.43, 1 Tm 3.52
Tb: 0.2410 0.7604 0.7604  4 Nd 3.25-3.43, 1 Tm 3.52
Tb: 0.7600 0.7600 0.7600  4 Nd 3.24-3.44, 1 Tm 3.52
Tb: 0.2400 0.2400 0.2400  4 Nd 3.24-3.44, 1 Tm 3.52
Tb: 0.7590 0.2396 0.2396  4 Nd 3.25-3.43, 1 Tm 3.52
Tb: 0.2396 0.2396 0.7590  4 Nd 3.25-3.43, 1 Tm 3.52
Nd: 0.5000 0.0000 0.5000  8 Tb 3.43-3.44
Nd: 0.0000 0.5000 0.5000  8 Tb 3.43-3.44
Nd: 0.5000 0.5000 0.0000  8 Tb 3.43-3.44
Nd: 0.0000 0.0000 0.0000  8 Tb 3.24-3.25
Tm: 0.5000 0.5000 0.5000  8 Tb 3.52, 6 Nd 3.91

---

[11]
# BeC

Crystalline BeC at its relaxed geometry (PBE, the Alexandria database).

- VASP energy: -6.145 eV per atom
- Space group: P2_12_12_1, No. 19
- Calculated volume: 6.74 Å³/atom
- Offset from the most stable computed form: 11 meV/atom
- Magnetic moment: 0.00 μB/f.u.

Cell: 5.4913 4.3490 4.5134 Å, 90.00 90.00 90.00°
Closest atoms and distances in Å follow each position.
Fractional positions:
Be: 0.2732 0.8868 0.0145  4 C 1.78-1.89
Be: 0.7732 0.6132 0.9855  4 C 1.78-1.89
Be: 0.7268 0.3868 0.4855  4 C 1.78-1.89
Be: 0.2268 0.1132 0.5145  4 C 1.78-1.89
Be: 0.1133 0.6097 0.6802  4 C 1.85-1.91
Be: 0.6133 0.8903 0.3198  4 C 1.85-1.91
Be: 0.8867 0.1097 0.8198  4 C 1.85-1.91
Be: 0.3867 0.3903 0.1802  4 C 1.85-1.91
C: 0.5813 0.9423 0.9007  2 C 1.59
C: 0.0813 0.5577 0.0993  2 C 1.59
C: 0.4187 0.4423 0.5993  2 C 1.59
C: 0.9187 0.0577 0.4007  2 C 1.59
C: 0.4175 0.8059 0.6426  2 C 1.59
C: 0.9175 0.6941 0.3574  2 C 1.59
C: 0.5825 0.3059 0.8574  2 C 1.59
C: 0.0825 0.1941 0.1426  2 C 1.59

---

[12]
# NaLaErTe3

Crystalline NaLaErTe3 at its relaxed geometry (PBE, the Alexandria database).

- VASP energy: -4.598 eV per atom
- Space group: P2_1/m, No. 11
- Calculated volume: 31.19 Å³/atom
- Magnetic moment: 0.00 μB/f.u.

Cell: 4.4574 8.7969 9.9352 Å, 106.11 90.00 90.00°
Closest atoms and distances in Å follow each position.
Fractional positions:
Na: 0.2500 0.0943 0.5843  4 Te 2.94-3.12, 2 Na 3.00
Na: 0.7500 0.9057 0.4157  4 Te 2.94-3.12, 2 Na 3.00
La: 0.2500 0.2056 0.2363  7 Te 3.25-3.40
La: 0.7500 0.7944 0.7637  7 Te 3.25-3.40
Er: 0.2500 0.6747 0.1589  6 Te 3.05-3.26
Er: 0.7500 0.3253 0.8411  6 Te 3.05-3.26
Te: 0.7500 0.9091 0.1204  1 Na 2.94, 2 Er 3.13
Te: 0.2500 0.0909 0.8796  1 Na 2.94, 2 Er 3.13
Te: 0.2500 0.7248 0.4962  3 Na 2.97-3.12, 1 Er 3.26
Te: 0.7500 0.2752 0.5038  3 Na 2.97-3.12, 1 Er 3.26
Te: 0.7500 0.4395 0.1621  3 Er 3.05-3.07, 2 La 3.25
Te: 0.2500 0.5605 0.8379  3 Er 3.05-3.07, 2 La 3.25